A geometry-optimized SrOsO3 structure, computed with GGA-PBEsol.

Lattice parameters (Å, degrees): 5.5428 7.8493 5.5810 90.00 90.00 90.00
Atoms (fractional coordinates):
1 Sr 0.0288 0.2500 0.0051
2 Sr 0.4712 0.7500 0.5051
3 Sr 0.5288 0.2500 0.4949
4 Sr 0.9712 0.7500 0.9949
5 Os 0.0000 0.0000 0.5000
6 Os 0.0000 0.5000 0.5000
7 Os 0.5000 0.0000 0.0000
8 Os 0.5000 0.5000 0.0000
9 O 0.0049 0.7500 0.4320
10 O 0.2172 0.5354 0.7826
11 O 0.2172 0.9646 0.7826
12 O 0.2828 0.0354 0.2826
13 O 0.2828 0.4646 0.2826
14 O 0.4951 0.2500 0.9320
15 O 0.5049 0.7500 0.0680
16 O 0.7172 0.5354 0.7174
17 O 0.7172 0.9646 0.7174
18 O 0.7828 0.0354 0.2174
19 O 0.7828 0.4646 0.2174
20 O 0.9951 0.2500 0.5680

Summary:
As for the space group: No. 62. The formation energy without anion corrections comes out at -1.730 eV per atom.

***

A geometry-optimized Sr11Os4O24 structure, computed with GGA-PBEsol.

Lattice parameters (Å, degrees): 11.4744 11.4744 11.4744 119.03 119.03 91.70
Atoms (fractional coordinates):
1 Sr 0.1379 0.8879 0.2500
2 Sr 0.1503 0.3422 0.2172
3 Sr 0.1578 0.8750 0.8081
4 Sr 0.1790 0.6923 0.4368
5 Sr 0.1923 0.2556 0.5134
6 Sr 0.2422 0.6790 0.9866
7 Sr 0.2444 0.2578 0.9368
8 Sr 0.3750 0.0669 0.7172
9 Sr 0.3750 0.1250 0.2500
10 Sr 0.3879 0.6379 0.7500
11 Sr 0.4331 0.6503 0.3081
12 Sr 0.5669 0.3497 0.6919
13 Sr 0.6121 0.3621 0.2500
14 Sr 0.6250 0.8750 0.7500
15 Sr 0.6250 0.9331 0.2828
16 Sr 0.7556 0.7422 0.0632
17 Sr 0.7578 0.3210 0.0134
18 Sr 0.8077 0.7444 0.4866
19 Sr 0.8210 0.3077 0.5632
20 Sr 0.8422 0.1250 0.1919
21 Sr 0.8497 0.6578 0.7828
22 Sr 0.8621 0.1121 0.7500
23 Os 0.0000 0.0000 0.0000
24 Os 0.0000 0.0000 0.5000
25 Os 0.0000 0.5000 0.0000
26 Os 0.0000 0.5000 0.5000
27 Os 0.5000 0.0000 0.0000
28 Os 0.5000 0.0000 0.5000
29 Os 0.5000 0.5000 0.0000
30 Os 0.5000 0.5000 0.5000
31 O 0.0065 0.5092 0.8426
32 O 0.0092 0.6666 0.5027
33 O 0.0284 0.9840 0.6686
34 O 0.0712 0.3474 0.9665
35 O 0.0966 0.8589 0.9939
36 O 0.1129 0.1109 0.2303
37 O 0.1191 0.8953 0.4665
38 O 0.1402 0.4716 0.4556
39 O 0.1438 0.1057 0.0124
40 O 0.1526 0.6191 0.7238
41 O 0.1666 0.1639 0.6574
42 O 0.1846 0.6402 0.1686
43 O 0.3361 0.4935 0.0027
44 O 0.3589 0.8650 0.7623
45 O 0.3650 0.1027 0.5061
46 O 0.3686 0.3562 0.4619
47 O 0.3806 0.8826 0.2697
48 O 0.3826 0.6129 0.5020
49 O 0.3891 0.1194 0.0020
50 O 0.3943 0.9067 0.0381
51 O 0.3953 0.4288 0.7762
52 O 0.3973 0.4034 0.2623
53 O 0.4067 0.8686 0.5124
54 O 0.4840 0.3154 0.9556
55 O 0.5160 0.6846 0.0444
56 O 0.5933 0.1314 0.4876
57 O 0.6027 0.5966 0.7377
58 O 0.6047 0.5712 0.2238
59 O 0.6057 0.0933 0.9619
60 O 0.6109 0.8806 0.9980
61 O 0.6174 0.3871 0.4980
62 O 0.6194 0.1174 0.7303
63 O 0.6314 0.6438 0.5381
64 O 0.6350 0.8973 0.4939
65 O 0.6411 0.1350 0.2377
66 O 0.6639 0.5065 0.9973
67 O 0.8154 0.3598 0.8314
68 O 0.8334 0.8361 0.3426
69 O 0.8474 0.3809 0.2762
70 O 0.8562 0.8943 0.9876
71 O 0.8598 0.5284 0.5444
72 O 0.8809 0.1047 0.5335
73 O 0.8871 0.8891 0.7697
74 O 0.9034 0.1411 0.0061
75 O 0.9288 0.6526 0.0335
76 O 0.9716 0.0160 0.3314
77 O 0.9908 0.3334 0.4973
78 O 0.9935 0.4908 0.1574

Summary:
As for the space group: No. 88. The formation energy without anion corrections comes out at -2.194 eV per atom.

***

A geometry-optimized Tb3OsO7 structure, computed with GGA-PBEsol.

Lattice parameters (Å, degrees): 6.3926 6.3926 7.3503 90.00 90.00 69.69
Atoms (fractional coordinates):
1 Tb 0.0000 0.0000 0.0000
2 Tb 0.0000 0.0000 0.5000
3 Tb 0.0606 0.4777 0.7500
4 Tb 0.4777 0.0606 0.2500
5 Tb 0.5223 0.9394 0.7500
6 Tb 0.9394 0.5223 0.2500
7 Os 0.5000 0.5000 0.0000
8 Os 0.5000 0.5000 0.5000
9 O 0.1097 0.1556 0.2500
10 O 0.1556 0.1097 0.7500
11 O 0.1752 0.5698 0.0303
12 O 0.1752 0.5698 0.4697
13 O 0.4302 0.8248 0.0303
14 O 0.4302 0.8248 0.4697
15 O 0.4493 0.5507 0.7500
16 O 0.5507 0.4493 0.2500
17 O 0.5698 0.1752 0.5303
18 O 0.5698 0.1752 0.9697
19 O 0.8248 0.4302 0.5303
20 O 0.8248 0.4302 0.9697
21 O 0.8444 0.8903 0.2500
22 O 0.8903 0.8444 0.7500

Summary:
As for the space group: No. 63. The formation energy without anion corrections comes out at -2.783 eV per atom.

***

A geometry-optimized TlOsO3 structure, computed with GGA-PBEsol.

Lattice parameters (Å, degrees): 3.9378 3.9378 3.9378 90.00 90.00 90.00
Atoms (fractional coordinates):
1 Tl 0.0000 0.0000 0.0000
2 Os 0.5000 0.5000 0.5000
3 O 0.0000 0.5000 0.5000
4 O 0.5000 0.0000 0.5000
5 O 0.5000 0.5000 0.0000

Summary:
As for the space group: No. 221. The formation energy without anion corrections comes out at -0.758 eV per atom.

***

A geometry-optimized OsWO3 structure, computed with GGA-PBEsol.

Lattice parameters (Å, degrees): 3.8881 3.8881 3.8881 90.00 90.00 90.00
Atoms (fractional coordinates):
1 Os 0.0000 0.0000 0.0000
2 W 0.5000 0.5000 0.5000
3 O 0.0000 0.0000 0.5000
4 O 0.0000 0.5000 0.0000
5 O 0.5000 0.0000 0.0000

Summary:
As for the space group: No. 221. The formation energy without anion corrections comes out at 0.492 eV per atom.

***

A geometry-optimized YOs3O structure, computed with GGA-PBEsol.

Lattice parameters (Å, degrees): 4.8340 4.8340 4.8340 90.00 90.00 90.00
Atoms (fractional coordinates):
1 Y 0.0000 0.0000 0.0000
2 Os 0.0000 0.0000 0.5000
3 Os 0.0000 0.5000 0.0000
4 Os 0.5000 0.0000 0.0000
5 O 0.5000 0.5000 0.5000

Summary:
As for the space group: No. 221. The formation energy without anion corrections comes out at 3.748 eV per atom.

***

A geometry-optimized ZrOs3O structure, computed with GGA-PBEsol.

Lattice parameters (Å, degrees): 4.1088 4.1088 4.1088 90.00 90.00 90.00
Atoms (fractional coordinates):
1 Zr 0.0000 0.0000 0.0000
2 Os 0.0000 0.5000 0.5000
3 Os 0.5000 0.0000 0.5000
4 Os 0.5000 0.5000 0.0000
5 O 0.5000 0.5000 0.5000

Summary:
As for the space group: No. 221. The formation energy without anion corrections comes out at 0.243 eV per atom.

***

A geometry-optimized P2O5 structure, computed with GGA-PBEsol.

Lattice parameters (Å, degrees): 9.3300 4.9071 7.2605 90.00 90.00 90.00
Atoms (fractional coordinates):
1 P 0.0998 0.2500 0.1473
2 P 0.2454 0.7500 0.2844
3 P 0.2546 0.2500 0.7844
4 P 0.4002 0.7500 0.6473
5 P 0.5998 0.2500 0.3527
6 P 0.7454 0.7500 0.2156
7 P 0.7546 0.2500 0.7156
8 P 0.9002 0.7500 0.8527
9 O 0.0497 0.7500 0.9138
10 O 0.1353 0.2500 0.6561
11 O 0.1388 0.0016 0.2760
12 O 0.1388 0.4984 0.2760
13 O 0.2241 0.2500 0.9997
14 O 0.2759 0.7500 0.4997
15 O 0.3612 0.5016 0.7760
16 O 0.3612 0.9984 0.7760
17 O 0.3647 0.7500 0.1561
18 O 0.4503 0.2500 0.4138
19 O 0.5497 0.7500 0.5862
20 O 0.6353 0.2500 0.8439
21 O 0.6388 0.0016 0.2240
22 O 0.6388 0.4984 0.2240
23 O 0.7241 0.2500 0.5003
24 O 0.7759 0.7500 0.0003
25 O 0.8612 0.5016 0.7240
26 O 0.8612 0.9984 0.7240
27 O 0.8647 0.7500 0.3439
28 O 0.9503 0.2500 0.0862

Summary:
As for the space group: No. 62. The value obtained for the energy above the most stable polymorph in this dataset is 0.000 eV/atom. The formation energy without anion corrections comes out at -1.966 eV per atom.

***

A geometry-optimized P2O5 structure, computed with GGA-PBEsol.

Lattice parameters (Å, degrees): 8.6333 4.8779 9.1562 68.25 31.65 80.09
Atoms (fractional coordinates):
1 P 0.0053 0.9947 0.8445
2 P 0.0945 0.4055 0.2553
3 P 0.4055 0.0945 0.2447
4 P 0.9947 0.0053 0.1555
5 O 0.1445 0.1445 0.8555
6 O 0.1604 0.2886 0.0674
7 O 0.1826 0.7665 0.0896
8 O 0.2444 0.7978 0.3674
9 O 0.2886 0.1604 0.4835
10 O 0.3945 0.3945 0.1055
11 O 0.6596 0.8826 0.4522
12 O 0.7665 0.1826 0.9614
13 O 0.7978 0.2444 0.5904
14 O 0.8826 0.6596 0.0056

Summary:
As for the space group: No. 43. The value obtained for the energy above the most stable polymorph in this dataset is 0.005 eV/atom. The formation energy without anion corrections comes out at -1.961 eV per atom.

***

A geometry-optimized P2O3 structure, computed with GGA-PBEsol.

Lattice parameters (Å, degrees): 6.2199 7.9342 6.7913 90.00 111.33 90.00
Atoms (fractional coordinates):
1 P 0.1630 0.2500 0.3737
2 P 0.2431 0.7500 0.4937
3 P 0.2613 0.5641 0.8782
4 P 0.2613 0.9359 0.8782
5 P 0.7387 0.0641 0.1218
6 P 0.7387 0.4359 0.1218
7 P 0.7569 0.2500 0.5063
8 P 0.8370 0.7500 0.6263
9 O 0.0238 0.0900 0.2239
10 O 0.0238 0.4100 0.2239
11 O 0.0395 0.2500 0.5522
12 O 0.3234 0.5900 0.6632
13 O 0.3234 0.9100 0.6632
14 O 0.3374 0.7500 0.9912
15 O 0.6626 0.2500 0.0088
16 O 0.6766 0.0900 0.3368
17 O 0.6766 0.4100 0.3368
18 O 0.9605 0.7500 0.4478
19 O 0.9762 0.5900 0.7761
20 O 0.9762 0.9100 0.7761

Summary:
As for the space group: No. 11. The formation energy without anion corrections comes out at -1.534 eV per atom.

***

A geometry-optimized P2O5 structure, computed with GGA-PBEsol.

Lattice parameters (Å, degrees): 7.6706 7.6706 7.6706 88.57 88.57 88.57
Atoms (fractional coordinates):
1 P 0.0000 0.0000 0.0000
2 P 0.0026 0.2050 0.3000
3 P 0.2050 0.3000 0.0026
4 P 0.3000 0.0026 0.2050
5 P 0.5000 0.5000 0.5000
6 P 0.5026 0.8000 0.7050
7 P 0.7050 0.5026 0.8000
8 P 0.8000 0.7050 0.5026
9 O 0.0848 0.1671 0.9028
10 O 0.0856 0.3504 0.1701
11 O 0.1671 0.9028 0.0848
12 O 0.1701 0.0856 0.3504
13 O 0.2700 0.4452 0.8982
14 O 0.3504 0.1701 0.0856
15 O 0.3937 0.3937 0.3937
16 O 0.3982 0.9452 0.7700
17 O 0.4028 0.6671 0.5848
18 O 0.4452 0.8982 0.2700
19 O 0.5848 0.4028 0.6671
20 O 0.5856 0.6701 0.8504
21 O 0.6671 0.5848 0.4028
22 O 0.6701 0.8504 0.5856
23 O 0.7700 0.3982 0.9452
24 O 0.8504 0.5856 0.6701
25 O 0.8937 0.8937 0.8937
26 O 0.8982 0.2700 0.4452
27 O 0.9028 0.0848 0.1671
28 O 0.9452 0.7700 0.3982

Summary:
As for the space group: No. 161. The value obtained for the energy above the most stable polymorph in this dataset is 0.023 eV/atom. The formation energy without anion corrections comes out at -1.943 eV per atom.

***

A geometry-optimized P2Pb3O8 structure, computed with GGA-PBEsol.

Lattice parameters (Å, degrees): 9.7800 9.7800 7.2247 90.00 90.00 120.00
Atoms (fractional coordinates):
1 P 0.0189 0.3950 0.0000
2 P 0.3762 0.9811 0.0000
3 P 0.3938 0.3739 0.4984
4 P 0.6050 0.6238 0.0000
5 P 0.6261 0.0198 0.4984
6 P 0.9802 0.6062 0.4984
7 Pb 0.0028 0.7449 0.9946
8 Pb 0.0128 0.2603 0.5066
9 Pb 0.2475 0.9872 0.5066
10 Pb 0.2551 0.2579 0.9946
11 Pb 0.3333 0.6667 0.2584
12 Pb 0.6667 0.3333 0.2542
13 Pb 0.6667 0.3333 0.7545
14 Pb 0.7397 0.7525 0.5066
15 Pb 0.7421 0.9972 0.9946
16 O 0.0675 0.3271 0.8351
17 O 0.0816 0.3524 0.1760
18 O 0.0952 0.5767 0.9926
19 O 0.1610 0.6947 0.4877
20 O 0.2596 0.9325 0.8351
21 O 0.2708 0.9184 0.1760
22 O 0.3053 0.4663 0.4877
23 O 0.3440 0.2634 0.6708
24 O 0.3635 0.2674 0.3256
25 O 0.4233 0.5185 0.9926
26 O 0.4823 0.1652 0.0027
27 O 0.4815 0.9048 0.9926
28 O 0.5124 0.0896 0.5122
29 O 0.5337 0.8390 0.4877
30 O 0.5772 0.4876 0.5122
31 O 0.6476 0.7292 0.1760
32 O 0.6729 0.7404 0.8351
33 O 0.6829 0.5177 0.0027
34 O 0.7326 0.0961 0.3256
35 O 0.7366 0.0806 0.6708
36 O 0.8348 0.3171 0.0027
37 O 0.9039 0.6365 0.3256
38 O 0.9104 0.4228 0.5122
39 O 0.9194 0.6560 0.6708

Summary:
As for the space group: No. 143. The value obtained for the energy above the most stable polymorph in this dataset is 0.000 eV/atom. The formation energy without anion corrections comes out at -1.887 eV per atom.